PBE PdPt14W, optimized geometry; E_form = -0.110 eV per atom
1.0
5.649 0.000 0.000
0.000 5.649 0.000
0.000 0.000 7.819
Pd Pt W
1 14 1
direct
0.000 0.000 0.000 Pd
0.000 0.000 0.500 Pt
0.000 0.500 0.000 Pt
0.000 0.500 0.500 Pt
0.253 0.253 0.244 Pt
0.253 0.253 0.756 Pt
0.253 0.747 0.244 Pt
0.253 0.747 0.756 Pt
0.500 0.000 0.000 Pt
0.500 0.000 0.500 Pt
0.500 0.500 0.500 Pt
0.747 0.253 0.244 Pt
0.747 0.253 0.756 Pt
0.747 0.747 0.244 Pt
0.747 0.747 0.756 Pt
0.500 0.500 0.000 W

PBE CrGeTe4, optimized geometry; formation energy without anion corrections = -7.1 kJ/mol of atoms
1.0
-3.816 3.897 5.747
3.816 -3.897 5.747
3.816 3.897 -5.747
Cr Ge Te
2 2 8
direct
0.500 0.000 0.000 Cr
0.500 0.500 0.500 Cr
0.000 0.000 0.000 Ge
0.500 0.000 0.500 Ge
0.252 0.246 0.007 Te
0.261 0.754 0.507 Te
0.267 0.290 0.523 Te
0.267 0.744 0.977 Te
0.733 0.256 0.023 Te
0.733 0.710 0.477 Te
0.739 0.246 0.493 Te
0.748 0.754 0.993 Te

PBE VZnIn2, optimized geometry; E_form = 0.487 eV per atom
1.0
-3.808 3.808 2.904
3.808 -3.808 2.904
3.808 3.808 -2.904
V Zn In
2 2 4
direct
0.000 0.000 0.000 V
0.750 0.250 0.500 V
0.250 0.750 0.500 Zn
0.500 0.500 0.000 Zn
0.141 0.625 0.016 In
0.375 0.391 0.516 In
0.609 0.125 0.984 In
0.875 0.859 0.484 In

Number 1: D(E_F) 1.635 states/eV/atom. Number 2: D(E_F) 0.606 states/eV/atom. Number 3: D(E_F) 1.064 states/eV/atom.